No. 1
# Ba2Ac2Ir, relaxed, DFT GGA-PBE
# - Crystal system: trigonal
# - Total magnetization: 0.00 μB/f.u.
# - Calculated total energy: -4.54 eV/atom
# - D(E_F): 1.142 states/eV per atom
# - V: 47.9 A^3/atom
# - E_form: -354 meV/atom
data_Ba2Ac2Ir
_symmetry_space_group_name_H-M 'R -3 m'
_symmetry_Int_Tables_number 166
_symmetry_space_group_name_Hall '-R 3 2"'
_cell_length_a 4.4344
_cell_length_b 4.4344
_cell_length_c 42.2194
_cell_angle_alpha 90.00
_cell_angle_beta 90.00
_cell_angle_gamma 120.00
loop_
_atom_site_label
_atom_site_fract_x
_atom_site_fract_y
_atom_site_fract_z
_atom_site_occupancy
Ba1 0.0000 0.0000 0.1228 1
Ac1 0.0000 0.0000 0.3699 1
Ir1 0.0000 0.0000 0.0000 1

No. 2
# LaBiAs2Pd5, relaxed, DFT GGA-PBE
# - Crystal system: tetragonal
# - Total magnetization: 0.00 μB/f.u.
# - Calculated total energy: -5.33 eV/atom
# - D(E_F): 0.745 states/eV per atom
# - V: 22.3 A^3/atom
# - E_form: -433 meV/atom
data_LaBiAs2Pd5
_symmetry_space_group_name_H-M 'P 4/m m m'
_symmetry_Int_Tables_number 123
_symmetry_space_group_name_Hall '-P 4 2'
_cell_length_a 4.326
_cell_length_b 4.326
_cell_length_c 10.716
_cell_angle_alpha 90.00
_cell_angle_beta 90.00
_cell_angle_gamma 90.00
loop_
_atom_site_label
_atom_site_fract_x
_atom_site_fract_y
_atom_site_fract_z
_atom_site_occupancy
La1 0.000 0.000 0.000 1
Bi1 0.000 0.000 0.500 1
As1 0.500 0.500 0.221 1
Pd1 0.000 0.500 0.329 1
Pd2 0.500 0.500 0.000 1

No. 3
# LaMnOs3, relaxed, DFT GGA-PBE
# - Crystal system: cubic
# - Total magnetization: 0.00 μB/f.u.
# - Calculated total energy: -8.75 eV/atom
# - Offset from the most stable computed form: 0.000 eV/atom
# - D(E_F): 0.874 states/eV per atom
# - V: 18.9 A^3/atom
# - E_form: 809 meV/atom
data_LaMnOs3
_symmetry_space_group_name_H-M 'P m -3 m'
_symmetry_Int_Tables_number 221
_symmetry_space_group_name_Hall '-P 4 2 3'
_cell_length_a 4.557
_cell_length_b 4.557
_cell_length_c 4.557
_cell_angle_alpha 90.00
_cell_angle_beta 90.00
_cell_angle_gamma 90.00
loop_
_atom_site_label
_atom_site_fract_x
_atom_site_fract_y
_atom_site_fract_z
_atom_site_occupancy
La1 0.000 0.000 0.000 1
Mn1 0.500 0.500 0.500 1
Os1 0.000 0.500 0.500 1

No. 4
# ZnAg2Pt, relaxed, DFT GGA-PBE
# - Crystal system: orthorhombic
# - Total magnetization: 0.00 μB/f.u.
# - Calculated total energy: -3.25 eV/atom
# - D(E_F): 0.410 states/eV per atom
# - V: 16.4 A^3/atom
# - E_form: 4 meV/atom
data_ZnAg2Pt
_symmetry_space_group_name_H-M 'C m m m'
_symmetry_Int_Tables_number 65
_symmetry_space_group_name_Hall '-C 2 2'
_cell_length_a 2.924
_cell_length_b 4.770
_cell_length_c 9.433
_cell_angle_alpha 90.00
_cell_angle_beta 90.00
_cell_angle_gamma 90.00
loop_
_atom_site_label
_atom_site_fract_x
_atom_site_fract_y
_atom_site_fract_z
_atom_site_occupancy
Zn1 0.000 0.000 0.000 1
Ag1 0.000 0.500 0.243 1
Pt1 0.000 0.000 0.500 1

No. 5
# KTl2AuBr8, relaxed, DFT GGA-PBE
# - Crystal system: trigonal
# - Total magnetization: 0.00 μB/f.u.
# - Calculated total energy: -2.42 eV/atom
# - V: 36.7 A^3/atom
data_KTl2AuBr8
_symmetry_space_group_name_H-M 'R 3 2'
_symmetry_Int_Tables_number 155
_symmetry_space_group_name_Hall 'R 3 2"'
_cell_length_a 6.9333
_cell_length_b 6.9333
_cell_length_c 31.7493
_cell_angle_alpha 90.00
_cell_angle_beta 90.00
_cell_angle_gamma 120.00
loop_
_atom_site_label
_atom_site_fract_x
_atom_site_fract_y
_atom_site_fract_z
_atom_site_occupancy
K1 0.0000 0.0000 0.0000 1
Tl1 0.0000 0.0000 0.2497 1
Au1 0.0000 0.0000 0.5000 1
Br1 0.0000 0.0000 0.3327 1
Br2 0.0009 0.3659 0.2259 1

No. 6
# Hg3CN, relaxed, DFT GGA-PBE
# - Crystal system: cubic
# - Total magnetization: 1.77 μB/f.u.
# - Calculated total energy: -1.91 eV/atom
# - Offset from the most stable computed form: 0.000 eV/atom
# - D(E_F): 0.762 states/eV per atom
# - V: 20.0 A^3/atom
data_Hg3CN
_symmetry_space_group_name_H-M 'P m -3 m'
_symmetry_Int_Tables_number 221
_symmetry_space_group_name_Hall '-P 4 2 3'
_cell_length_a 4.641
_cell_length_b 4.641
_cell_length_c 4.641
_cell_angle_alpha 90.00
_cell_angle_beta 90.00
_cell_angle_gamma 90.00
loop_
_atom_site_label
_atom_site_fract_x
_atom_site_fract_y
_atom_site_fract_z
_atom_site_occupancy
Hg1 0.000 0.000 0.500 1
C1 0.000 0.000 0.000 1
N1 0.500 0.500 0.500 1

No. 7
# GdLuGaRu, relaxed, DFT GGA-PBE
# - Crystal system: cubic
# - Total magnetization: 7.08 μB/f.u.
# - Calculated total energy: -8.19 eV/atom
# - D(E_F): 0.570 states/eV per atom
# - V: 20.8 A^3/atom
# - E_form: -460 meV/atom
data_GdLuGaRu
_symmetry_space_group_name_H-M 'F -4 3 m'
_symmetry_Int_Tables_number 216
_symmetry_space_group_name_Hall 'F -4 2 3'
_cell_length_a 6.933
_cell_length_b 6.933
_cell_length_c 6.933
_cell_angle_alpha 90.00
_cell_angle_beta 90.00
_cell_angle_gamma 90.00
loop_
_atom_site_label
_atom_site_fract_x
_atom_site_fract_y
_atom_site_fract_z
_atom_site_occupancy
Gd1 0.000 0.000 0.000 1
Lu1 0.000 0.000 0.500 1
Ga1 0.250 0.250 0.250 1
Ru1 0.250 0.250 0.750 1

No. 8
# NaAg2SbOs, relaxed, DFT GGA-PBE
# - Crystal system: tetragonal
# - Total magnetization: 3.98 μB/f.u.
# - Calculated total energy: -2.98 eV/atom
# - D(E_F): 0.688 states/eV per atom
# - V: 31.3 A^3/atom
data_NaAg2SbOs
_symmetry_space_group_name_H-M 'P 4/m m m'
_symmetry_Int_Tables_number 123
_symmetry_space_group_name_Hall '-P 4 2'
_cell_length_a 5.190
_cell_length_b 5.190
_cell_length_c 5.803
_cell_angle_alpha 90.00
_cell_angle_beta 90.00
_cell_angle_gamma 90.00
loop_
_atom_site_label
_atom_site_fract_x
_atom_site_fract_y
_atom_site_fract_z
_atom_site_occupancy
Na1 0.000 0.000 0.000 1
Ag1 0.000 0.500 0.500 1
Sb1 0.000 0.000 0.500 1
Os1 0.500 0.500 0.000 1

No. 9
# BaInBiF, relaxed, DFT GGA-PBE
# - Crystal system: tetragonal
# - Total magnetization: 0.00 μB/f.u.
# - Calculated total energy: -4.21 eV/atom
# - D(E_F): 0.297 states/eV per atom
# - V: 29.8 A^3/atom
data_BaInBiF
_symmetry_space_group_name_H-M 'P 4/n m m'
_symmetry_Int_Tables_number 129
_cell_length_a 5.133
_cell_length_b 5.133
_cell_length_c 9.042
_cell_angle_alpha 90.00
_cell_angle_beta 90.00
_cell_angle_gamma 90.00
loop_
_symmetry_equiv_pos_as_xyz
'x,y,z'
'-x,-y,-z'
'-y+1/2,x,z'
'y+1/2,-x,-z'
'-x+1/2,-y+1/2,z'
'x+1/2,y+1/2,-z'
'y,-x+1/2,z'
'-y,x+1/2,-z'
'x+1/2,-y,-z'
'-x+1/2,y,z'
'-y,-x,-z'
'y,x,z'
'-x,y+1/2,-z'
'x,-y+1/2,z'
'y+1/2,x+1/2,-z'
'-y+1/2,-x+1/2,z'
loop_
_atom_site_label
_atom_site_fract_x
_atom_site_fract_y
_atom_site_fract_z
_atom_site_occupancy
Ba1 0.250 0.250 0.125 1
In1 0.250 0.750 0.500 1
Bi1 0.250 0.250 0.689 1
F1 0.250 0.750 0.000 1

No. 10
# ReAg3, relaxed, DFT GGA-PBE
# - Crystal system: cubic
# - Total magnetization: 2.78 μB/f.u.
# - Calculated total energy: -3.21 eV/atom
# - Offset from the most stable computed form: 1.656 eV/atom
# - D(E_F): 1.291 states/eV per atom
# - V: 36.3 A^3/atom
# - E_form: 2044 meV/atom
data_ReAg3
_symmetry_space_group_name_H-M 'P m -3 m'
_symmetry_Int_Tables_number 221
_symmetry_space_group_name_Hall '-P 4 2 3'
_cell_length_a 5.256
_cell_length_b 5.256
_cell_length_c 5.256
_cell_angle_alpha 90.00
_cell_angle_beta 90.00
_cell_angle_gamma 90.00
loop_
_atom_site_label
_atom_site_fract_x
_atom_site_fract_y
_atom_site_fract_z
_atom_site_occupancy
Re1 0.000 0.000 0.000 1
Ag1 0.000 0.000 0.500 1

No. 11
# Rb3La3GaSe8, relaxed, DFT GGA-PBE
# - Crystal system: monoclinic
# - Total magnetization: 0.01 μB/f.u.
# - Calculated total energy: -4.64 eV/atom
# - D(E_F): 1.563 states/eV per atom
# - V: 35.6 A^3/atom
data_Rb3La3GaSe8
_symmetry_space_group_name_H-M 'C 1 2/m 1'
_symmetry_Int_Tables_number 12
_symmetry_space_group_name_Hall '-C 2y'
_cell_length_a 15.058
_cell_length_b 8.694
_cell_length_c 9.574
_cell_angle_alpha 90.00
_cell_angle_beta 121.63
_cell_angle_gamma 90.00
loop_
_atom_site_label
_atom_site_fract_x
_atom_site_fract_y
_atom_site_fract_z
_atom_site_occupancy
Rb1 0.000 0.000 0.000 1
Rb2 0.250 0.250 0.000 1
La1 0.000 0.500 0.500 1
La2 0.250 0.250 0.500 1
Ga1 0.000 0.000 0.500 1
Se1 0.014 0.226 0.315 1
Se2 0.211 0.000 0.684 1
Se3 0.234 0.500 0.703 1

No. 12
# NiRuN3, relaxed, DFT GGA-PBE
# - Crystal system: cubic
# - Total magnetization: 1.85 μB/f.u.
# - Calculated total energy: -6.44 eV/atom
# - D(E_F): 0.844 states/eV per atom
# - V: 11.2 A^3/atom
data_NiRuN3
_symmetry_space_group_name_H-M 'P m -3 m'
_symmetry_Int_Tables_number 221
_symmetry_space_group_name_Hall '-P 4 2 3'
_cell_length_a 3.823
_cell_length_b 3.823
_cell_length_c 3.823
_cell_angle_alpha 90.00
_cell_angle_beta 90.00
_cell_angle_gamma 90.00
loop_
_atom_site_label
_atom_site_fract_x
_atom_site_fract_y
_atom_site_fract_z
_atom_site_occupancy
Ni1 0.000 0.000 0.000 1
Ru1 0.500 0.500 0.500 1
N1 0.000 0.500 0.500 1